1.
Entry from Alexandria via LeMat-Bulk: a relaxed Ac3Ni4 crystal (PBE).

Results
- Space-group type: Immm
- Energy relative to the elements: -0.2642 eV per atom
- V: 165.70 Å³/f.u.

a = 4.211 Å, b = 4.189 Å, c = 9.852 Å
α = 102.28°, β = 102.34°, γ = 90.00°
Element x y z (fractional)
Ac (0.500, 0.000, 0.000)
Ac (0.179, 0.179, 0.357)
Ac (0.821, 0.821, 0.643)
Ni (0.064, 0.564, 0.129)
Ni (0.936, 0.436, 0.871)
Ni (0.635, 0.635, 0.271)
Ni (0.365, 0.365, 0.729)

=====

2.
Entry from Alexandria via LeMat-Bulk: a relaxed Ac5Ni crystal (PBE).

Results
- Space-group type: P2_1/m
- Energy relative to the elements: 0.0066 eV per atom
- V: 235.85 Å³/f.u.

a = 4.045 Å, b = 10.472 Å, c = 11.354 Å
α = 90.00°, β = 90.00°, γ = 101.24°
Element x y z (fractional)
Ac (0.142, 0.285, 0.250)
Ac (0.858, 0.715, 0.750)
Ac (0.314, 0.626, 0.074)
Ac (0.500, 0.000, 0.500)
Ac (0.686, 0.374, 0.574)
Ac (0.686, 0.374, 0.926)
Ac (0.314, 0.626, 0.426)
Ac (0.063, 0.127, 0.750)
Ac (0.937, 0.873, 0.250)
Ac (0.500, 0.000, 0.000)
Ni (0.760, 0.520, 0.250)
Ni (0.240, 0.480, 0.750)

=====

3.
Entry from Alexandria via LeMat-Bulk: a relaxed Ac2Ni3 crystal (PBE).

Results
- Space-group type: Cmcm
- Energy relative to the elements: -0.2648 eV per atom
- V: 114.09 Å³/f.u.

a = 4.195 Å, b = 4.182 Å, c = 13.176 Å
α = 90.00°, β = 99.16°, γ = 90.00°
Element x y z (fractional)
Ac (0.302, 0.750, 0.604)
Ac (0.698, 0.250, 0.396)
Ac (0.568, 0.750, 0.136)
Ac (0.432, 0.250, 0.864)
Ni (0.166, 0.750, 0.333)
Ni (0.834, 0.250, 0.667)
Ni (0.885, 0.750, 0.769)
Ni (0.115, 0.250, 0.231)
Ni (0.023, 0.250, 0.046)
Ni (0.977, 0.750, 0.954)

=====

4.
Entry from Alexandria via LeMat-Bulk: a relaxed AcNp2Ni9 crystal (PBE).

Results
- Space-group type: P6_3/mmc
- Energy relative to the elements: -0.1798 eV per atom
- V: 176.61 Å³/f.u.

a = 4.994 Å, b = 4.994 Å, c = 16.354 Å
α = 90.00°, β = 90.00°, γ = 120.00°
Last column: magnetic moment on the atom in μB.
Element x y z (fractional)
Ac (0.333, 0.667, 0.750)  0.05
Ac (0.667, 0.333, 0.250)  0.05
Np (0.333, 0.667, 0.531)  3.52
Np (0.667, 0.333, 0.031)  3.52
Np (0.667, 0.333, 0.469)  3.52
Np (0.333, 0.667, 0.969)  3.52
Ni (0.000, 0.000, 0.000)  -0.09
Ni (0.000, 0.000, 0.500)  -0.09
Ni (0.000, 0.000, 0.250)  -0.10
Ni (0.000, 0.000, 0.750)  -0.10
Ni (0.333, 0.667, 0.250)  -0.03
Ni (0.667, 0.333, 0.750)  -0.03
Ni (0.167, 0.334, 0.123)  -0.14
Ni (0.666, 0.833, 0.123)  -0.14
Ni (0.167, 0.833, 0.123)  -0.14
Ni (0.833, 0.666, 0.623)  -0.14
Ni (0.334, 0.167, 0.623)  -0.14
Ni (0.833, 0.167, 0.623)  -0.14
Ni (0.334, 0.167, 0.877)  -0.14
Ni (0.833, 0.666, 0.877)  -0.14
Ni (0.833, 0.167, 0.877)  -0.14
Ni (0.666, 0.833, 0.377)  -0.14
Ni (0.167, 0.334, 0.377)  -0.14
Ni (0.167, 0.833, 0.377)  -0.14

=====

5.
Entry from Alexandria via LeMat-Bulk: a relaxed Ac2NpNi9 crystal (PBE).

Results
- Space-group type: R-3m
- Energy relative to the elements: -0.1236 eV per atom
- V: 188.89 Å³/f.u.

a = 5.043 Å, b = 5.043 Å, c = 9.058 Å
α = 73.84°, β = 73.84°, γ = 60.00°
Last column: magnetic moment on the atom in μB.
Element x y z (fractional)
Ac (0.865, 0.865, 0.405)  0.06
Ac (0.135, 0.135, 0.595)  0.06
Np (0.000, 0.000, 0.000)  3.63
Ni (0.667, 0.667, 0.998)  -0.34
Ni (0.333, 0.333, 0.002)  -0.34
Ni (0.500, 0.500, 0.500)  -0.01
Ni (0.424, 0.424, 0.230)  -0.16
Ni (0.922, 0.424, 0.230)  -0.16
Ni (0.424, 0.922, 0.230)  -0.16
Ni (0.576, 0.576, 0.770)  -0.16
Ni (0.576, 0.078, 0.770)  -0.16
Ni (0.078, 0.576, 0.770)  -0.16

=====

6.
Entry from Alexandria via LeMat-Bulk: a relaxed AcNpNi2 crystal (PBE).

Results
- Space-group type: R-3m
- Energy relative to the elements: 0.6294 eV per atom
- V: 101.44 Å³/f.u.

a = 3.637 Å, b = 3.637 Å, c = 9.102 Å
α = 78.48°, β = 78.48°, γ = 60.00°
Last column: magnetic moment on the atom in μB.
Element x y z (fractional)
Np (0.500, 0.500, 0.500)  3.30
Ni (0.108, 0.108, 0.675)  -0.18
Ni (0.892, 0.892, 0.325)  -0.18
Ac (0.000, 0.000, 0.000)  0.02